Cd2Cu7Sn2Pt | PBE-GGA | relaxed

The symmetry is C2/m (12). The value obtained for the total energy is -43.6 eV per cell. The calculation puts the formation energy from the elements at 0.082 eV/atom.

Unit cell a=3.6814 b=3.6814 c=15.3406 alpha=86.95 beta=86.95 gamma=89.42
Last column: nearest neighbours and their distance in Å.
Element x y z (fractional)
Cu: 0.4697 0.9671 0.1239  6 Cu 2.58-2.66, 2 Pt 2.63-2.65, 2 Cd 2.72-2.79
Cu: 0.5303 0.0329 0.8761  6 Cu 2.58-2.66, 2 Pt 2.63-2.65, 2 Cd 2.72-2.79
Cu: 0.6606 0.6606 0.5554  1 Cu 2.48, 4 Sn 2.71-2.74
Cu: 0.0329 0.5303 0.8761  6 Cu 2.58-2.66, 2 Pt 2.63-2.65, 2 Cd 2.72-2.79
Cu: 0.5000 0.5000 0.0000  4 Pt 2.59-2.62, 8 Cu 2.63-2.66
Cu: 0.3394 0.3394 0.4446  1 Cu 2.48, 4 Sn 2.71-2.74
Cu: 0.9671 0.4697 0.1239  6 Cu 2.58-2.66, 2 Pt 2.63-2.65, 2 Cd 2.72-2.79
Sn: 0.1372 0.1372 0.6139  5 Cu 2.71-2.82
Sn: 0.8628 0.8628 0.3861  5 Cu 2.71-2.82
Pt: 0.0000 0.0000 0.0000  12 Cu 2.59-2.65
Cd: 0.5762 0.5762 0.7422  5 Cu 2.72-2.87
Cd: 0.4238 0.4238 0.2578  5 Cu 2.72-2.87